Material: NpFe3
Method: DFT, PBE
State: relaxed

Cell lengths 6.0604, 6.0604, 6.0604 Å; angles 90.00, 90.00, 90.00 degrees
Space group Fm-3m (No. 225)
Unique sites:
Np1 0.0000 0.0000 0.0000 (multiplicity 4)
Fe1 0.0000 0.0000 0.5000 (multiplicity 4)
Fe2 0.2500 0.2500 0.2500 (multiplicity 8)

Output
Formation energy: 169 meV per atom


Material: CsK3Na2
Method: DFT, PBE
State: relaxed

Cell lengths 14.3512, 14.0544, 7.8316 Å; angles 90.00, 90.00, 90.00 degrees
Space group Cmcm (No. 63)
Unique sites:
Cs1 0.0000 0.1026 0.2500 (multiplicity 4)
K1 0.0000 0.4272 0.2500 (multiplicity 4)
K2 0.1635 0.2516 0.7500 (multiplicity 8)
Na1 0.2413 0.5000 0.0000 (multiplicity 8)

Output
Offset from the most stable computed form: 0 meV/atom
Formation energy: 15 meV per atom


Material: SmPu2Si2Au2
Method: DFT, PBE
State: relaxed

Cell lengths 4.1007, 4.1007, 28.4234 Å; angles 90.00, 90.00, 120.00 degrees
Space group R-3m (No. 166, hexagonal axes)
Unique sites:
Sm1 0.0000 0.0000 0.0000 (multiplicity 3)
Pu1 0.0000 0.0000 0.1516 (multiplicity 6)
Si1 0.0000 0.0000 0.2498 (multiplicity 6)
Au1 0.0000 0.0000 0.4034 (multiplicity 6)

Output
Formation energy without anion corrections: -0.353 eV per atom


Material: MnAl3B
Method: DFT, PBE
State: relaxed

Cell lengths 4.5116, 4.5116, 4.5116 Å; angles 90.00, 90.00, 90.00 degrees
Space group Pm-3m (No. 221)
Unique sites:
Mn1 0.0000 0.0000 0.0000 (multiplicity 1)
Al1 0.0000 0.0000 0.5000 (multiplicity 3)
B1 0.5000 0.5000 0.5000 (multiplicity 1)

Output
Offset from the most stable computed form: 665 meV/atom
Formation energy: 1068 meV per atom


Material: Ce2S2N
Method: DFT, PBE
State: relaxed

Cell lengths 3.9572, 15.0593, 7.1104 Å; angles 90.00, 90.00, 90.00 degrees
Space group Cmc2_1 (No. 36)
Unique sites:
Ce1 0.0000 0.0530 0.0000 (multiplicity 4)
Ce2 0.0000 0.3382 0.8937 (multiplicity 4)
S1 0.0000 0.2975 0.5102 (multiplicity 4)
S2 0.0000 0.4558 0.1950 (multiplicity 4)
N1 0.0000 0.0965 0.3292 (multiplicity 4)

Output
Formation energy without anion corrections: -1.834 eV per atom


For each record above, in turn, the calculated magnetization values are 6.419; 0.000; 5.375; 0.000; 4.259 Bohr magnetons per cell.
For each record above, in turn, the calculated total energy values are -37.65; -6.69; -53.26; -21.74; -37.62 eV per formula unit.